# 1
The following is a PBE calculation of TbTm2In2Hg2 after structural relaxation, from the Alexandria database.

Results
- crystal system = trigonal
- spin magnetization (μB/cell) = 0.00
- space-group type = R-3m, No. 166
- density of states at the Fermi level (states/eV/cell) = 4.17
- E_form (eV per atom) = -0.25

a b c (Å): 9.1846 9.1846 9.1846
angles (deg): 31.15 31.15 31.15
With the nearest neighbours (Å) after each atom.
Sites, in units of the cell vectors:
Tb: 0.0000 0.0000 0.0000  6 In 3.32, 2 Tm 3.46
Tm: 0.1321 0.1321 0.1321  3 Hg 2.99, 3 In 3.34
Tm: 0.8679 0.8679 0.8679  3 Hg 2.99, 3 In 3.34
In: 0.2682 0.2682 0.2682  3 Hg 2.97, 3 Tb 3.32
In: 0.7318 0.7318 0.7318  3 Hg 2.97, 3 Tb 3.32
Hg: 0.4310 0.4310 0.4310  3 In 2.97, 3 Tm 2.99
Hg: 0.5690 0.5690 0.5690  3 In 2.97, 3 Tm 2.99

***

# 2
The following is a PBE calculation of AcPr7Nd12 after structural relaxation, from the Alexandria database.

Results
- E above lowest polymorph (eV/f.u.) = 7.180
- crystal system = cubic
- spin magnetization (μB/cell) = 0.00
- space-group type = Im-3m, No. 229
- density of states at the Fermi level (states/eV/cell) = 28.94
- E_form (eV per atom) = 0.55

a b c (Å): 10.1875 10.1875 10.1875
angles (deg): 109.47 109.47 109.47
With the nearest neighbours (Å) after each atom.
Sites, in units of the cell vectors:
Ac: 0.0000 0.0000 0.0000  12 Nd 4.22
Pr: 0.0000 0.0000 0.5000  6 Nd 2.94
Pr: 0.0000 0.5000 0.0000  6 Nd 2.94
Pr: 0.0000 0.5000 0.5000  12 Nd 4.10-4.16
Pr: 0.5000 0.0000 0.0000  6 Nd 2.94
Pr: 0.5000 0.0000 0.5000  12 Nd 4.10-4.16
Pr: 0.5000 0.5000 0.0000  12 Nd 4.10-4.16
Pr: 0.5000 0.5000 0.5000  6 Nd 2.94
Nd: 0.0000 0.2538 0.7462  2 Pr 2.94
Nd: 0.0000 0.7462 0.2538  2 Pr 2.94
Nd: 0.2538 0.0000 0.7462  2 Pr 2.94
Nd: 0.2538 0.2538 0.5075  2 Pr 2.94
Nd: 0.2538 0.5075 0.2538  2 Pr 2.94
Nd: 0.2538 0.7462 0.0000  2 Pr 2.94
Nd: 0.4925 0.7462 0.7462  2 Pr 2.94
Nd: 0.5075 0.2538 0.2538  2 Pr 2.94
Nd: 0.7462 0.0000 0.2538  2 Pr 2.94
Nd: 0.7462 0.2538 0.0000  2 Pr 2.94
Nd: 0.7462 0.4925 0.7462  2 Pr 2.94
Nd: 0.7462 0.7462 0.4925  2 Pr 2.94

***

# 3
The following is a PBE calculation of Ho2CoHgC after structural relaxation, from the Alexandria database.

Results
- crystal system = tetragonal
- spin magnetization (μB/cell) = 0.00
- space-group type = P4/mmm, No. 123
- density of states at the Fermi level (states/eV/cell) = 2.81
- E_form (eV per atom) = -0.41

a b c (Å): 5.0351 5.0351 3.6778
angles (deg): 90.00 90.00 90.00
With the nearest neighbours (Å) after each atom.
Sites, in units of the cell vectors:
Ho: 0.0000 0.5000 0.0000  2 C 2.52
Ho: 0.5000 0.0000 0.0000  2 C 2.52
Co: 0.0000 0.0000 0.5000  2 C 1.84
Hg: 0.5000 0.5000 0.5000  8 Ho 3.12
C: 0.0000 0.0000 0.0000  2 Co 1.84

***

# 4
The following is a PBE calculation of Sm3ZnNi8 after structural relaxation, from the Alexandria database.

Results
- crystal system = trigonal
- spin magnetization (μB/cell) = 0.00
- space-group type = R3m, No. 160
- density of states at the Fermi level (states/eV/cell) = 8.19
- E_form (eV per atom) = -0.36

a b c (Å): 8.7562 8.7562 8.7562
angles (deg): 33.38 33.38 33.38
With the nearest neighbours (Å) after each atom.
Sites, in units of the cell vectors:
Sm: 0.0000 0.0000 0.0000  12 Ni 2.95-3.03, 4 Sm 3.19
Sm: 0.1288 0.1288 0.1288  12 Ni 2.82-3.01, 3 Zn 2.99
Sm: 0.6136 0.6136 0.6136  9 Ni 2.85-3.00, 1 Zn 3.02, 3 Sm 3.19
Zn: 0.4917 0.4917 0.4917  12 Ni 2.79-3.02, 4 Sm 2.99-3.02
Ni: 0.0575 0.0575 0.5624  6 Ni 2.48-2.56
Ni: 0.0575 0.5624 0.0575  6 Ni 2.48-2.56
Ni: 0.0649 0.5604 0.5604  6 Ni 2.49-2.55, 1 Zn 2.79
Ni: 0.3104 0.3104 0.3104  6 Ni 2.55-2.56
Ni: 0.5604 0.0649 0.5604  6 Ni 2.49-2.55, 1 Zn 2.79
Ni: 0.5604 0.5604 0.0649  6 Ni 2.49-2.55, 1 Zn 2.79
Ni: 0.5624 0.0575 0.0575  6 Ni 2.48-2.56
Ni: 0.8110 0.8110 0.8110  6 Ni 2.48-2.51

***

# 5
The following is a PBE calculation of AcErTl2Se4 after structural relaxation, from the Alexandria database.

Results
- crystal system = monoclinic
- spin magnetization (μB/cell) = 0.00
- space-group type = P2/m, No. 10
- density of states at the Fermi level (states/eV/cell) = 0.00
- uncorrected formation energy (eV per atom) = -1.387

a b c (Å): 7.5743 4.3618 8.1453
angles (deg): 90.00 107.91 90.00
With the nearest neighbours (Å) after each atom.
Sites, in units of the cell vectors:
Ac: 0.0000 0.0000 0.0000  6 Se 3.08-3.10
Er: 0.5000 0.5000 0.0000  6 Se 2.89-2.93
Tl: 0.0000 0.5000 0.5000  6 Se 3.46-3.48
Tl: 0.5000 0.0000 0.5000  6 Se 3.30-3.31
Se: 0.2583 0.5000 0.2134  1 Er 2.89, 2 Ac 3.08
Se: 0.2830 0.0000 0.7949  2 Er 2.93, 1 Ac 3.10
Se: 0.7170 0.0000 0.2051  2 Er 2.93, 1 Ac 3.10
Se: 0.7417 0.5000 0.7866  1 Er 2.89, 2 Ac 3.08

***

# 6
The following is a PBE calculation of Tb2Pr6DyTh after structural relaxation, from the Alexandria database.

Results
- crystal system = monoclinic
- spin magnetization (μB/cell) = 0.00
- space-group type = C2/c, No. 15
- density of states at the Fermi level (states/eV/cell) = 28.80
- E_form (eV per atom) = 0.14

a b c (Å): 8.9171 8.9171 9.9009
angles (deg): 94.62 94.62 116.45
With the nearest neighbours (Å) after each atom.
Sites, in units of the cell vectors:
Tb: 0.1975 0.2866 0.0495  5 Pr 3.32-3.54, 2 Th 3.41-3.46, 1 Dy 3.56
Tb: 0.2866 0.1975 0.5495  5 Pr 3.32-3.54, 2 Th 3.41-3.46, 1 Dy 3.56
Tb: 0.7134 0.8025 0.4505  5 Pr 3.32-3.54, 2 Th 3.41-3.46, 1 Dy 3.56
Tb: 0.8025 0.7134 0.9505  5 Pr 3.32-3.54, 2 Th 3.41-3.46, 1 Dy 3.56
Pr: 0.0099 0.5754 0.1878  2 Pr 3.38-3.74, 1 Dy 3.47, 1 Th 3.49, 1 Tb 3.50
Pr: 0.1086 0.7560 0.5565  7 Pr 3.49-3.89, 2 Tb 3.54-3.80, 1 Th 3.63
Pr: 0.2440 0.8914 0.9435  7 Pr 3.49-3.89, 2 Tb 3.54-3.80, 1 Th 3.63
Pr: 0.2997 0.5090 0.3805  3 Tb 3.32-3.52, 3 Pr 3.37-3.49, 2 Dy 3.43-3.64
Pr: 0.4246 0.9901 0.3122  2 Pr 3.38-3.74, 1 Dy 3.47, 1 Th 3.49, 1 Tb 3.50
Pr: 0.4910 0.7003 0.1195  3 Tb 3.32-3.52, 3 Pr 3.37-3.49, 2 Dy 3.43-3.64
Pr: 0.5090 0.2997 0.8805  3 Tb 3.32-3.52, 3 Pr 3.37-3.49, 2 Dy 3.43-3.64
Pr: 0.5754 0.0099 0.6878  2 Pr 3.38-3.74, 1 Dy 3.47, 1 Th 3.49, 1 Tb 3.50
Pr: 0.7003 0.4910 0.6195  3 Tb 3.32-3.52, 3 Pr 3.37-3.49, 2 Dy 3.43-3.64
Pr: 0.7560 0.1086 0.0565  7 Pr 3.49-3.89, 2 Tb 3.54-3.80, 1 Th 3.63
Pr: 0.8914 0.2440 0.4435  7 Pr 3.49-3.89, 2 Tb 3.54-3.80, 1 Th 3.63
Pr: 0.9901 0.4246 0.8122  2 Pr 3.38-3.74, 1 Dy 3.47, 1 Th 3.49, 1 Tb 3.50
Dy: 0.4072 0.5928 0.7500  6 Pr 3.43-3.64, 2 Tb 3.56
Dy: 0.5928 0.4072 0.2500  6 Pr 3.43-3.64, 2 Tb 3.56
Th: 0.0264 0.9736 0.2500  4 Tb 3.41-3.46, 4 Pr 3.49-3.63
Th: 0.9736 0.0264 0.7500  4 Tb 3.41-3.46, 4 Pr 3.49-3.63

***

# 7
The following is a PBE calculation of ZrTaAgBr2 after structural relaxation, from the Alexandria database.

Results
- crystal system = tetragonal
- spin magnetization (μB/cell) = 2.31
- space-group type = P4/mmm, No. 123
- density of states at the Fermi level (states/eV/cell) = 7.18
- uncorrected formation energy (eV per atom) = 1.412

a b c (Å): 5.0139 5.0139 5.5874
angles (deg): 90.00 90.00 90.00
With the nearest neighbours (Å) after each atom.
Sites, in units of the cell vectors:
Zr: 0.0000 0.0000 0.0000  2 Ag 2.79
Ta: 0.5000 0.5000 0.0000  4 Zr 3.55, 8 Br 3.75
Ag: 0.0000 0.0000 0.5000  4 Br 2.51, 2 Zr 2.79
Br: 0.0000 0.5000 0.5000  2 Ag 2.51
Br: 0.5000 0.0000 0.5000  2 Ag 2.51

***

# 8
The following is a PBE calculation of RbSnP2O after structural relaxation, from the Alexandria database.

Results
- E above lowest polymorph (eV/f.u.) = 6.227
- crystal system = tetragonal
- spin magnetization (μB/cell) = 1.17
- space-group type = P4/mmm, No. 123
- density of states at the Fermi level (states/eV/cell) = 3.44
- uncorrected formation energy (eV per atom) = 1.392

a b c (Å): 5.4480 5.4480 4.3299
angles (deg): 90.00 90.00 90.00
With the nearest neighbours (Å) after each atom.
Sites, in units of the cell vectors:
Rb: 0.0000 0.0000 0.0000  2 O 2.16
Sn: 0.5000 0.5000 0.5000  8 P 3.48, 4 O 3.85
P: 0.0000 0.5000 0.0000  2 Rb 2.72
P: 0.5000 0.0000 0.0000  2 Rb 2.72
O: 0.0000 0.0000 0.5000  2 Rb 2.16

***

# 9
The following is a PBE calculation of TmZnNiRh after structural relaxation, from the Alexandria database.

Results
- crystal system = cubic
- spin magnetization (μB/cell) = 0.00
- space-group type = F-43m, No. 216
- density of states at the Fermi level (states/eV/cell) = 1.90
- E_form (eV per atom) = -0.52

a b c (Å): 4.4778 4.4778 4.4778
angles (deg): 60.00 60.00 60.00
With the nearest neighbours (Å) after each atom.
Sites, in units of the cell vectors:
Tm: 0.0000 0.0000 0.0000  4 Ni 2.74, 4 Rh 2.74
Zn: 0.5000 0.5000 0.5000  4 Rh 2.74, 4 Ni 2.74
Ni: 0.2500 0.2500 0.2500  4 Zn 2.74, 4 Tm 2.74
Rh: 0.7500 0.7500 0.7500  4 Tm 2.74, 4 Zn 2.74

***

# 10
The following is a PBE calculation of Ba12Te3O5 after structural relaxation, from the Alexandria database.

Results
- crystal system = cubic
- spin magnetization (μB/cell) = 25.61
- space-group type = Ia-3d, No. 230
- density of states at the Fermi level (states/eV/cell) = 50.54
- uncorrected formation energy (eV per atom) = -1.628

a b c (Å): 15.5797 15.5797 15.5797
angles (deg): 109.47 109.47 109.47
With the nearest neighbours (Å) after each atom.
Sites, in units of the cell vectors:
Ba: 0.0107 0.1974 0.1126  1 O 2.55
Ba: 0.0107 0.3134 0.8981  1 O 2.55
Ba: 0.0847 0.6974 0.6866  1 O 2.55
Ba: 0.0847 0.8874 0.3981  1 O 2.55
Ba: 0.1019 0.6126 0.4153  1 O 2.55
Ba: 0.1019 0.9893 0.6866  1 O 2.55
Ba: 0.1126 0.0107 0.1974  1 O 2.55
Ba: 0.1126 0.6019 0.9153  1 O 2.55
Ba: 0.1866 0.1974 0.5847  1 O 2.55
Ba: 0.1866 0.4893 0.6019  1 O 2.55
Ba: 0.1974 0.1126 0.0107  1 O 2.55
Ba: 0.1974 0.5847 0.1866  1 O 2.55
Ba: 0.3026 0.3134 0.9153  1 O 2.55
Ba: 0.3026 0.4893 0.3874  1 O 2.55
Ba: 0.3134 0.8981 0.0107  1 O 2.55
Ba: 0.3134 0.9153 0.3026  1 O 2.55
Ba: 0.3874 0.3026 0.4893  1 O 2.55
Ba: 0.3874 0.5847 0.8981  1 O 2.55
Ba: 0.3981 0.0847 0.8874  1 O 2.55
Ba: 0.3981 0.8134 0.5107  1 O 2.55
Ba: 0.4153 0.1019 0.6126  1 O 2.55
Ba: 0.4153 0.8134 0.8026  1 O 2.55
Ba: 0.4893 0.3874 0.3026  1 O 2.55
Ba: 0.4893 0.6019 0.1866  1 O 2.55
Ba: 0.5107 0.3981 0.8134  1 O 2.55
Ba: 0.5107 0.6126 0.6974  1 O 2.55
Ba: 0.5847 0.1866 0.1974  1 O 2.55
Ba: 0.5847 0.8981 0.3874  1 O 2.55
Ba: 0.6019 0.1866 0.4893  1 O 2.55
Ba: 0.6019 0.9153 0.1126  1 O 2.55
Ba: 0.6126 0.4153 0.1019  1 O 2.55
Ba: 0.6126 0.6974 0.5107  1 O 2.55
Ba: 0.6866 0.0847 0.6974  1 O 2.55
Ba: 0.6866 0.1019 0.9893  1 O 2.55
Ba: 0.6974 0.5107 0.6126  1 O 2.55
Ba: 0.6974 0.6866 0.0847  1 O 2.55
Ba: 0.8026 0.4153 0.8134  1 O 2.55
Ba: 0.8026 0.8874 0.9893  1 O 2.55
Ba: 0.8134 0.5107 0.3981  1 O 2.55
Ba: 0.8134 0.8026 0.4153  1 O 2.55
Ba: 0.8874 0.3981 0.0847  1 O 2.55
Ba: 0.8874 0.9893 0.8026  1 O 2.55
Ba: 0.8981 0.0107 0.3134  1 O 2.55
Ba: 0.8981 0.3874 0.5847  1 O 2.55
Ba: 0.9153 0.1126 0.6019  1 O 2.55
Ba: 0.9153 0.3026 0.3134  1 O 2.55
Ba: 0.9893 0.6866 0.1019  1 O 2.55
Ba: 0.9893 0.8026 0.8874  1 O 2.55
Te: 0.1250 0.2500 0.3750  8 Ba 3.53-3.73
Te: 0.1250 0.3750 0.7500  8 Ba 3.53-3.73
Te: 0.2500 0.3750 0.1250  8 Ba 3.53-3.73
Te: 0.2500 0.8750 0.6250  8 Ba 3.53-3.73
Te: 0.3750 0.1250 0.2500  8 Ba 3.53-3.73
Te: 0.3750 0.7500 0.1250  8 Ba 3.53-3.73
Te: 0.6250 0.2500 0.8750  8 Ba 3.53-3.73
Te: 0.6250 0.8750 0.7500  8 Ba 3.53-3.73
Te: 0.7500 0.1250 0.3750  8 Ba 3.53-3.73
Te: 0.7500 0.6250 0.8750  8 Ba 3.53-3.73
Te: 0.8750 0.6250 0.2500  8 Ba 3.53-3.73
Te: 0.8750 0.7500 0.6250  8 Ba 3.53-3.73
O: 0.0000 0.0000 0.0000  6 Ba 2.90
O: 0.0000 0.0000 0.5000  6 Ba 2.90
O: 0.0000 0.5000 0.0000  6 Ba 2.90
O: 0.0000 0.5000 0.5000  6 Ba 2.90
O: 0.1250 0.7500 0.8750  4 Ba 2.55
O: 0.1250 0.8750 0.2500  4 Ba 2.55
O: 0.2500 0.1250 0.8750  4 Ba 2.55
O: 0.2500 0.6250 0.3750  4 Ba 2.55
O: 0.3750 0.2500 0.6250  4 Ba 2.55
O: 0.3750 0.6250 0.7500  4 Ba 2.55
O: 0.5000 0.0000 0.0000  6 Ba 2.90
O: 0.5000 0.0000 0.5000  6 Ba 2.90
O: 0.5000 0.5000 0.0000  6 Ba 2.90
O: 0.5000 0.5000 0.5000  6 Ba 2.90
O: 0.6250 0.3750 0.2500  4 Ba 2.55
O: 0.6250 0.7500 0.3750  4 Ba 2.55
O: 0.7500 0.3750 0.6250  4 Ba 2.55
O: 0.7500 0.8750 0.1250  4 Ba 2.55
O: 0.8750 0.1250 0.7500  4 Ba 2.55
O: 0.8750 0.2500 0.1250  4 Ba 2.55